Here is UTc2Ge after structural relaxation from Alexandria via LeMat-Bulk. Energies are from PBE-GGA.

a b c (Å): 4.6696 4.6696 4.6696
angles (deg): 60.25 60.25 60.25
Last column: nearest neighbours and their distance in Å.
Element x y z (fractional)
U1 0.0000 0.0000 0.0000  2 Tc 2.37
Tc1 0.2072 0.2072 0.2072  1 U 2.37
Tc2 0.7928 0.7928 0.7928  1 U 2.37
Ge1 0.5000 0.5000 0.5000  6 Tc 2.75

Results
* V: 18.1 Å³ per atom
* formation energy: -0.1521 eV per atom
* total DFT energy (no corrections): -37.2 eV/cell
* distance to the lowest polymorph of the same formula: 133.8 meV/atom
* total magnetic moment: 0.000 μB per cell

---

Here is VTcGe4 after structural relaxation from Alexandria via LeMat-Bulk. Energies are from PBE-GGA.

a b c (Å): 5.2357 5.2357 7.5133
angles (deg): 90.00 90.00 90.00
Last column: nearest neighbours and their distance in Å.
Element x y z (fractional)
V1 0.5000 0.5000 0.0000  8 Ge 2.63-2.64
V2 0.0000 0.0000 0.0000  8 Ge 2.64
Ge1 0.7500 0.7500 0.7504  4 Ge 2.62, 2 V 2.64, 2 Tc 2.64
Ge2 0.2501 0.7499 0.2496  4 Ge 2.62, 2 V 2.63-2.64, 2 Tc 2.64
Ge3 0.7499 0.2501 0.2496  4 Ge 2.62, 2 V 2.63-2.64, 2 Tc 2.64
Ge4 0.7499 0.2501 0.7504  4 Ge 2.62, 2 V 2.63-2.64, 2 Tc 2.64
Ge5 0.2500 0.2500 0.2496  4 Ge 2.62, 2 V 2.64, 2 Tc 2.64
Ge6 0.2501 0.7499 0.7504  4 Ge 2.62, 2 V 2.63-2.64, 2 Tc 2.64
Ge7 0.7500 0.7500 0.2496  4 Ge 2.62, 2 V 2.64, 2 Tc 2.64
Ge8 0.2500 0.2500 0.7504  4 Ge 2.62, 2 V 2.64, 2 Tc 2.64
Tc1 0.0000 0.5000 0.5000  8 Ge 2.64
Tc2 0.5000 0.0000 0.5000  8 Ge 2.64

Results
* V: 17.2 Å³ per atom
* formation energy: 0.0820 eV per atom
* total DFT energy (no corrections): -74.9 eV/cell
* total magnetic moment: 0.152 μB per cell